A relaxed structure of UInHgI6, computed with PBE.

Calculated values
As for the space group: No. 163. Its total magnetization is 0.111 μB/atom. As for the total DFT energy (no corrections): -3.24 eV/atom. As for the formation energy without anion corrections: -0.618 eV per atom.

Cell lengths 8.367, 8.367, 16.227 Å; angles 90.00, 90.00, 120.00 degrees
Fractional positions:
U (0.667, 0.333, 0.250)
U (0.333, 0.667, 0.750)
In (0.333, 0.667, 0.250)
In (0.667, 0.333, 0.750)
Hg (0.000, 0.000, 0.000)
Hg (0.000, 0.000, 0.500)
I (0.653, 0.614, 0.146)
I (0.961, 0.347, 0.146)
I (0.347, 0.961, 0.646)
I (0.039, 0.653, 0.854)
I (0.386, 0.347, 0.354)
I (0.961, 0.614, 0.354)
I (0.614, 0.961, 0.854)
I (0.653, 0.039, 0.354)
I (0.039, 0.386, 0.646)
I (0.386, 0.039, 0.146)
I (0.614, 0.653, 0.646)
I (0.347, 0.386, 0.854)